(1)
K4Pm3PuO8: optimized geometry, GGA-PBE.

Properties
V ... 17.697 Å³/atom
SG ... R-3m (166)
Energy relative to the elements, uncorrected ... -2568 meV per atom

```
K4Pm3PuO8
1.0
3.604 2.081 6.294
-3.604 2.081 6.294
0.000 -4.161 6.294
K Pm Pu O
4 3 1 8
direct
0.000 0.000 0.000
0.000 0.500 0.500
0.500 0.000 0.500
0.500 0.500 0.000
0.000 0.000 0.500
0.000 0.500 0.000
0.500 0.000 0.000
0.500 0.500 0.500
0.230 0.230 0.230
0.233 0.728 0.728
0.272 0.272 0.767
0.272 0.767 0.272
0.728 0.233 0.728
0.728 0.728 0.233
0.767 0.272 0.272
0.770 0.770 0.770
```


(2)
K2PmRe3O12: optimized geometry, GGA-PBE.

Properties
V ... 16.450 Å³/atom
SG ... R-3m (166)
Energy relative to the elements, uncorrected ... -1885 meV per atom

```
K2PmRe3O12
1.0
3.720 2.148 6.178
-3.720 2.148 6.178
0.000 -4.295 6.178
K Pm Re O
2 1 3 12
direct
0.134 0.134 0.134
0.866 0.866 0.866
0.500 0.500 0.500
0.000 0.500 0.500
0.500 0.000 0.500
0.500 0.500 0.000
0.124 0.588 0.588
0.204 0.204 0.574
0.204 0.574 0.204
0.412 0.412 0.876
0.412 0.876 0.412
0.426 0.796 0.796
0.574 0.204 0.204
0.588 0.124 0.588
0.588 0.588 0.124
0.796 0.426 0.796
0.796 0.796 0.426
0.876 0.412 0.412
```


(3)
KPmReO5: optimized geometry, GGA-PBE.

Properties
V ... 18.803 Å³/atom
SG ... C2/c (15)
Energy relative to the elements, uncorrected ... -2124 meV per atom

```
KPmReO5
1.0
3.720 -5.219 0.000
3.720 5.219 0.000
-3.001 0.000 7.747
K Pm Re O
2 2 2 10
direct
0.180 0.820 0.750
0.820 0.180 0.250
0.500 0.500 0.000
0.500 0.500 0.500
0.174 0.826 0.250
0.826 0.174 0.750
0.091 0.224 0.908
0.203 0.636 0.379
0.224 0.091 0.408
0.364 0.797 0.121
0.425 0.575 0.750
0.575 0.425 0.250
0.636 0.203 0.879
0.776 0.909 0.592
0.797 0.364 0.621
0.909 0.776 0.092
```


(4)
KPmRe2O8: optimized geometry, GGA-PBE.

Properties
V ... 20.512 Å³/atom
SG ... P-3m1 (164)
Energy relative to the elements, uncorrected ... -1978 meV per atom

```
KPmRe2O8
1.0
6.090 0.000 0.000
-3.045 5.274 0.000
0.000 0.000 7.664
K Pm Re O
1 1 2 8
direct
0.000 0.000 0.000
0.000 0.000 0.500
0.333 0.667 0.773
0.667 0.333 0.227
0.172 0.344 0.691
0.172 0.828 0.691
0.333 0.667 0.003
0.344 0.172 0.309
0.656 0.828 0.691
0.667 0.333 0.997
0.828 0.172 0.309
0.828 0.656 0.309
```


(5)
K3PmRe2O9: optimized geometry, GGA-PBE.

Properties
V ... 14.145 Å³/atom
SG ... P-3m1 (164)
Energy relative to the elements, uncorrected ... -2013 meV per atom

```
K3PmRe2O9
1.0
5.812 0.000 0.000
-2.906 5.033 0.000
0.000 0.000 7.253
K Pm Re O
3 1 2 9
direct
0.000 0.000 0.000
0.333 0.667 0.674
0.667 0.333 0.326
0.000 0.000 0.500
0.333 0.667 0.155
0.667 0.333 0.845
0.000 0.500 0.000
0.180 0.361 0.303
0.180 0.820 0.303
0.361 0.180 0.697
0.500 0.000 0.000
0.500 0.500 0.000
0.639 0.820 0.303
0.820 0.180 0.697
0.820 0.639 0.697
```


(6)
KPmRhO3: optimized geometry, GGA-PBE.

Properties
V ... 15.899 Å³/atom
SG ... C2/m (12)
Energy relative to the elements, uncorrected ... -1942 meV per atom

```
KPmRhO3
1.0
6.708 -1.922 0.000
6.708 1.922 0.000
-1.976 0.000 7.398
K Pm Rh O
2 2 2 6
direct
0.142 0.142 0.062
0.858 0.858 0.938
0.153 0.153 0.578
0.847 0.847 0.422
0.494 0.494 0.709
0.506 0.506 0.291
0.007 0.007 0.294
0.330 0.330 0.627
0.345 0.345 0.228
0.655 0.655 0.772
0.670 0.670 0.373
0.993 0.993 0.706
```